1.
Compound: Li2TmIn2
Source: Alexandria via LeMat-Bulk
Functional: GGA-PBE
Structure: optimized geometry

The formation energy from the elements is -0.2836 eV per atom. As for the calculated volume: 21.01 Å³/atom. Its final energy is -3.0388 eV/atom.

The space group is P4/mbm (No. 127) and the conventional cell measures 8.1403, 8.1403 and 3.1709 Å, with angles of 90.00, 90.00 and 90.00 degrees. The distinct sites, in fractional coordinates, are Li at (0.1158, 0.3842, 0.0000), Tm at (0.0000, 0.0000, 0.0000) and In at (0.1817, 0.6817, 0.5000).



2.
Compound: Li2Tm3In4
Source: Alexandria via LeMat-Bulk
Functional: GGA-PBE
Structure: optimized geometry

The formation energy from the elements is -0.3750 eV per atom. As for the calculated volume: 23.60 Å³/atom. Its final energy is -3.5079 eV/atom.

The space group is C2/m (No. 12) and the conventional cell measures 10.8180, 4.8676 and 9.2480 Å, with angles of 90.00, 119.28 and 90.00 degrees. The distinct sites, in fractional coordinates, are Li at (0.1139, 0.0000, 0.2854), Tm at (0.0000, 0.5000, 0.0000), Tm at (0.1642, 0.0000, 0.6603), In at (0.0533, 0.5000, 0.3782) and In at (0.2313, 0.0000, 0.0793).



3.
Compound: LiTmIn3
Source: Alexandria via LeMat-Bulk
Functional: GGA-PBE
Structure: optimized geometry

The formation energy from the elements is 0.0414 eV per atom. The polymorph energy (0 for the lowest one) is 0.265 eV/atom. As for the calculated volume: 30.97 Å³/atom. Its final energy is -2.8788 eV/atom.

The space group is Imma (No. 74) and the conventional cell measures 6.1761, 12.9967 and 7.7162 Å, with angles of 90.00, 90.00 and 90.00 degrees. The distinct sites, in fractional coordinates, are Li at (0.0000, 0.2500, 0.0720), Tm at (0.0000, 0.0000, 0.5000), In at (0.0000, 0.2500, 0.4482) and In at (0.2500, 0.1343, 0.7500).



Number 1: DOS(E_F) 2.7 states/eV/f.u.. Number 2: DOS(E_F) 3.7 states/eV/f.u.. Number 3: DOS(E_F) 1.9 states/eV/f.u..